(1)
## AlTlSb (PBE-GGA)

Data for a geometry-optimized AlTlSb structure.

Calculated values
Calculated volume, Å³ per atom: 25.94
Energy above the most stable polymorph in this dataset, meV/atom: 191

a = 5.2838 Å, b = 5.2838 Å, c = 3.2181 Å
α = 90.00°, β = 90.00°, γ = 120.00°
Space group P3m1 (No. 156)
Inequivalent atoms, fractional coordinates:
Al1 0.0000 0.0000 0.0000 (multiplicity 1)
Tl1 0.3333 0.6667 0.5021 (multiplicity 1)
Sb1 0.6667 0.3333 0.0032 (multiplicity 1)

=====

(2)
## AlTlSb (PBE-GGA)

Data for a geometry-optimized AlTlSb structure.

Calculated values
Calculated volume, Å³ per atom: 28.41
Energy above the most stable polymorph in this dataset, meV/atom: 6

a = 4.3672 Å, b = 4.3672 Å, c = 8.9371 Å
α = 90.00°, β = 90.00°, γ = 90.00°
Space group P4/nmm (No. 129, origin choice 2)
Inequivalent atoms, fractional coordinates:
Al1 0.2500 0.7500 0.0000 (multiplicity 2)
Tl1 0.2500 0.2500 0.4065 (multiplicity 2)
Sb1 0.2500 0.2500 0.8021 (multiplicity 2)

=====

(3)
## Al2TlSb2 (PBE-GGA)

Data for a geometry-optimized Al2TlSb2 structure.

Calculated values
Calculated volume, Å³ per atom: 24.60
Energy above the most stable polymorph in this dataset, meV/atom: 119

a = 8.0646 Å, b = 8.0646 Å, c = 3.7825 Å
α = 90.00°, β = 90.00°, γ = 90.00°
Space group P4/mbm (No. 127)
Inequivalent atoms, fractional coordinates:
Al1 0.1270 0.3730 0.0000 (multiplicity 4)
Tl1 0.0000 0.0000 0.0000 (multiplicity 2)
Sb1 0.1599 0.6599 0.5000 (multiplicity 4)

=====

(4)
## AlTl4Sb (PBE-GGA)

Data for a geometry-optimized AlTl4Sb structure.

Calculated values
VASP energy, eV per atom: -2.54
Calculated volume, Å³ per atom: 31.16

a = 9.0773 Å, b = 9.0773 Å, c = 9.0773 Å
α = 90.00°, β = 90.00°, γ = 90.00°
Space group F-43m (No. 216)
Inequivalent atoms, fractional coordinates:
Al1 0.0000 0.0000 0.0000 (multiplicity 4)
Tl1 0.1249 0.1249 0.3751 (multiplicity 16)
Sb1 0.2500 0.2500 0.7500 (multiplicity 4)